[1]
The following is a DFT calculation (PBE) of a relaxed structure of CsHfAg3O4.

Output
The value obtained for the spin magnetization is 0.001 μB/f.u.

Cell: 5.7630 5.7630 5.7630 Å, 90.00 90.00 90.00°
Element x y z (fractional)
1 Cs 0.0000 0.0000 0.0000
2 Hf 0.5000 0.5000 0.5000
3 Ag 0.0000 0.5000 0.5000
4 Ag 0.5000 0.0000 0.5000
5 Ag 0.5000 0.5000 0.0000
6 O 0.3007 0.3007 0.3007
7 O 0.3007 0.6993 0.6993
8 O 0.6993 0.3007 0.6993
9 O 0.6993 0.6993 0.3007

[2]
The following is a DFT calculation (PBE) of a relaxed structure of DyHoEr2Al2.

Output
The value obtained for the spin magnetization is 0.010 μB/f.u.

Cell: 5.2047 5.2047 6.5947 Å, 90.00 90.00 120.00°
Element x y z (fractional)
1 Dy 0.0000 0.0000 0.0000
2 Ho 0.6667 0.3333 0.5000
3 Er 0.3333 0.6667 0.2505
4 Er 0.3333 0.6667 0.7495
5 Al 0.0000 0.0000 0.5000
6 Al 0.6667 0.3333 0.0000

[3]
The following is a DFT calculation (PBE) of a relaxed structure of LaAgTe3Pb.

Output
The value obtained for the spin magnetization is 0.001 μB/f.u. The value obtained for the energy above the most stable polymorph in this dataset is 0.016 eV/atom.

Cell: 9.2004 4.6622 18.0443 Å, 90.00 90.00 90.00°
Element x y z (fractional)
1 La 0.2430 0.2500 0.0325
2 La 0.2570 0.7500 0.5325
3 La 0.7430 0.2500 0.4675
4 La 0.7570 0.7500 0.9675
5 Ag 0.1190 0.2500 0.3677
6 Ag 0.3810 0.7500 0.8677
7 Ag 0.6190 0.2500 0.1323
8 Ag 0.8810 0.7500 0.6323
9 Te 0.0298 0.2500 0.5918
10 Te 0.1066 0.7500 0.9329
11 Te 0.1992 0.2500 0.2154
12 Te 0.3008 0.7500 0.7154
13 Te 0.3934 0.2500 0.4329
14 Te 0.4702 0.7500 0.0918
15 Te 0.5298 0.2500 0.9082
16 Te 0.6066 0.7500 0.5671
17 Te 0.6992 0.2500 0.2846
18 Te 0.8008 0.7500 0.7846
19 Te 0.8934 0.2500 0.0671
20 Te 0.9702 0.7500 0.4082
21 Pb 0.0674 0.2500 0.7688
22 Pb 0.4326 0.7500 0.2688
23 Pb 0.5674 0.2500 0.7312
24 Pb 0.9326 0.7500 0.2312

[4]
The following is a DFT calculation (PBE) of a relaxed structure of Li2ZnAg2SnAu2.

Cell: 4.5335 4.5335 6.6121 Å, 90.00 90.00 90.00°
Element x y z (fractional)
1 Li 0.0000 0.0000 0.0000
2 Li 0.5000 0.5000 0.5000
3 Zn 0.0000 0.0000 0.5000
4 Ag 0.0000 0.5000 0.7297
5 Ag 0.5000 0.0000 0.2703
6 Sn 0.5000 0.5000 0.0000
7 Au 0.0000 0.5000 0.2695
8 Au 0.5000 0.0000 0.7305

[5]
The following is a DFT calculation (PBE) of a relaxed structure of AcTmZn.

Output
The value obtained for the spin magnetization is 0.009 μB/f.u. The value obtained for the energy above the most stable polymorph in this dataset is 0.620 eV/atom. The value obtained for the energy of formation is 66.0 kJ/mol of atoms.

Cell: 5.2427 5.2427 5.2427 Å, 60.00 60.00 60.00°
Element x y z (fractional)
1 Ac 0.0000 0.0000 0.0000
2 Tm 0.7500 0.7500 0.7500
3 Zn 0.2500 0.2500 0.2500

[6]
The following is a DFT calculation (PBE) of a relaxed structure of PmF.

Output
The value obtained for the spin magnetization is 0.843 μB/f.u. The value obtained for the energy above the most stable polymorph in this dataset is 0.000 eV/atom.

Cell: 3.9592 3.9592 3.9592 Å, 60.00 60.00 60.00°
Element x y z (fractional)
1 Pm 0.0000 0.0000 0.0000
2 F 0.2500 0.2500 0.2500

[7]
The following is a DFT calculation (PBE) of a relaxed structure of CoTc.

Output
The value obtained for the spin magnetization is 2.011 μB/f.u. The value obtained for the energy above the most stable polymorph in this dataset is 0.333 eV/atom. The value obtained for the energy of formation is 27.7 kJ/mol of atoms.

Cell: 2.9469 2.9469 2.9469 Å, 90.00 90.00 90.00°
Element x y z (fractional)
1 Co 0.0000 0.0000 0.0000
2 Tc 0.5000 0.5000 0.5000

[8]
The following is a DFT calculation (PBE) of a relaxed structure of BaHoNO.

Output
The value obtained for the spin magnetization is 0.003 μB/f.u. The value obtained for the energy above the most stable polymorph in this dataset is 0.068 eV/atom.

Cell: 3.8856 7.1941 6.2102 Å, 90.00 90.00 90.00°
Element x y z (fractional)
1 Ba 0.0000 0.1679 0.0000
2 Ba 0.0000 0.8321 0.5000
3 Ho 0.5000 0.3459 0.5128
4 Ho 0.5000 0.6541 0.0128
5 N 0.0000 0.2036 0.4389
6 N 0.0000 0.7964 0.9389
7 O 0.5000 0.3788 0.8618
8 O 0.5000 0.6212 0.3618

[9]
The following is a DFT calculation (PBE) of a relaxed structure of SnAu9.

Output
The value obtained for the energy above the most stable polymorph in this dataset is 0.000 eV/atom.

Cell: 2.9934 4.0028 41.6750 Å, 90.00 90.00 90.00°
Element x y z (fractional)
1 Sn 0.2500 0.2500 0.1534
2 Sn 0.7500 0.7500 0.8466
3 Au 0.2500 0.2500 0.2291
4 Au 0.2500 0.2500 0.3016
5 Au 0.2500 0.2500 0.3736
6 Au 0.2500 0.2500 0.4457
7 Au 0.2500 0.2500 0.5182
8 Au 0.2500 0.2500 0.5901
9 Au 0.2500 0.2500 0.6624
10 Au 0.2500 0.2500 0.7342
11 Au 0.2500 0.2500 0.8086
12 Au 0.7500 0.7500 0.1914
13 Au 0.7500 0.7500 0.2658
14 Au 0.7500 0.7500 0.3376
15 Au 0.7500 0.7500 0.4099
16 Au 0.7500 0.7500 0.4818
17 Au 0.7500 0.7500 0.5543
18 Au 0.7500 0.7500 0.6264
19 Au 0.7500 0.7500 0.6984
20 Au 0.7500 0.7500 0.7709

[10]
The following is a DFT calculation (PBE) of a relaxed structure of PmNpCo.

Output
The value obtained for the spin magnetization is 4.436 μB/f.u. The value obtained for the energy above the most stable polymorph in this dataset is 0.000 eV/atom. The value obtained for the energy of formation is 35.6 kJ/mol of atoms.

Cell: 4.6694 4.6694 4.6694 Å, 60.00 60.00 60.00°
Element x y z (fractional)
1 Pm 0.0000 0.0000 0.0000
2 Np 0.5000 0.5000 0.5000
3 Co 0.7500 0.7500 0.7500

[11]
The following is a DFT calculation (PBE) of a relaxed structure of Ta2TlZn.

Output
The value obtained for the spin magnetization is 0.005 μB/f.u.

Cell: 4.7487 4.7487 4.7487 Å, 60.00 60.00 60.00°
Element x y z (fractional)
1 Ta 0.0000 0.0000 0.0000
2 Ta 0.2500 0.2500 0.2500
3 Tl 0.5000 0.5000 0.5000
4 Zn 0.7500 0.7500 0.7500

[12]
The following is a DFT calculation (PBE) of a relaxed structure of UPdAu.

Output
The value obtained for the spin magnetization is 2.703 μB/f.u. The value obtained for the energy of formation is 16.0 kJ/mol of atoms.

Cell: 4.7201 4.7201 4.7201 Å, 60.00 60.00 60.00°
Element x y z (fractional)
1 U 0.0000 0.0000 0.0000
2 Pd 0.2500 0.2500 0.2500
3 Au 0.7500 0.7500 0.7500

[13]
The following is a DFT calculation (PBE) of a relaxed structure of Na4CdO3.

Output
The value obtained for the energy above the most stable polymorph in this dataset is 0.000 eV/atom.

Cell: 6.4545 6.4545 8.0002 Å, 109.53 109.53 53.94°
Element x y z (fractional)
1 Na 0.1511 0.8489 0.5000
2 Na 0.3994 0.9742 0.9024
3 Na 0.4440 0.7664 0.2041
4 Na 0.6058 0.9160 0.5979
5 Na 0.7664 0.4440 0.7041
6 Na 0.8489 0.1511 0.0000
7 Na 0.9160 0.6058 0.0979
8 Na 0.9742 0.3994 0.4024
9 Cd 0.2233 0.5177 0.8151
10 Cd 0.5177 0.2233 0.3151
11 O 0.1902 0.1896 0.1542
12 O 0.1896 0.1902 0.6542
13 O 0.5473 0.5503 0.4212
14 O 0.5503 0.5473 0.9212
15 O 0.7994 0.8330 0.3723
16 O 0.8330 0.7994 0.8723

[14]
The following is a DFT calculation (PBE) of a relaxed structure of NbCdPb.

Output
The value obtained for the spin magnetization is 1.516 μB/f.u. The value obtained for the energy above the most stable polymorph in this dataset is 0.000 eV/atom.

Cell: 4.8015 4.8015 4.8015 Å, 60.00 60.00 60.00°
Element x y z (fractional)
1 Nb 0.0000 0.0000 0.0000
2 Cd 0.2500 0.2500 0.2500
3 Pb 0.7500 0.7500 0.7500

[15]
The following is a DFT calculation (PBE) of a relaxed structure of CsSmNiSe3.

Output
The value obtained for the spin magnetization is 1.858 μB/f.u. The value obtained for the energy above the most stable polymorph in this dataset is 0.018 eV/atom.

Cell: 8.3203 8.3203 11.0129 Å, 90.00 90.00 151.12°
Element x y z (fractional)
1 Cs 0.2411 0.7589 0.7500
2 Cs 0.7589 0.2411 0.2500
3 Sm 0.5000 0.5000 0.0000
4 Sm 0.5000 0.5000 0.5000
5 Ni 0.0315 0.9685 0.2500
6 Ni 0.9685 0.0315 0.7500
7 Se 0.1175 0.8825 0.0718
8 Se 0.1175 0.8825 0.4282
9 Se 0.4485 0.5515 0.2500
10 Se 0.5515 0.4485 0.7500
11 Se 0.8825 0.1175 0.5718
12 Se 0.8825 0.1175 0.9282

[16]
The following is a DFT calculation (PBE) of a relaxed structure of Cu2Pd.

Output
The value obtained for the energy above the most stable polymorph in this dataset is 0.424 eV/atom. The value obtained for the energy of formation is 30.2 kJ/mol of atoms.

Cell: 4.0693 4.0693 4.0693 Å, 60.00 60.00 60.00°
Element x y z (fractional)
1 Cu 0.2500 0.2500 0.2500
2 Cu 0.7500 0.7500 0.7500
3 Pd 0.0000 0.0000 0.0000

[17]
The following is a DFT calculation (PBE) of a relaxed structure of PmCdNO.

Output
The value obtained for the spin magnetization is 0.001 μB/f.u. The value obtained for the energy above the most stable polymorph in this dataset is 0.000 eV/atom.

Cell: 3.9664 6.3234 5.5671 Å, 90.00 90.00 90.00°
Element x y z (fractional)
1 Pm 0.0000 0.1940 0.0000
2 Pm 0.0000 0.8060 0.5000
3 Cd 0.5000 0.3009 0.4947
4 Cd 0.5000 0.6991 0.9947
5 N 0.0000 0.1632 0.4242
6 N 0.0000 0.8368 0.9242
7 O 0.5000 0.3447 0.9124
8 O 0.5000 0.6553 0.4124

[18]
The following is a DFT calculation (PBE) of a relaxed structure of Cu31Te3.

Output
The value obtained for the energy above the most stable polymorph in this dataset is 0.004 eV/atom.

Cell: 4.3654 13.5213 15.8196 Å, 88.76 88.63 89.95°
Element x y z (fractional)
1 Cu 0.0672 0.4723 0.3111
2 Cu 0.0728 0.4059 0.1614
3 Cu 0.0817 0.3373 0.0104
4 Cu 0.0818 0.9065 0.1647
5 Cu 0.0833 0.8391 0.0138
6 Cu 0.0943 0.9713 0.3151
7 Cu 0.0953 0.2693 0.8573
8 Cu 0.0951 0.7717 0.8617
9 Cu 0.0970 0.2058 0.7031
10 Cu 0.1069 0.7057 0.7096
11 Cu 0.2218 0.6496 0.3448
12 Cu 0.2350 0.5864 0.1884
13 Cu 0.2409 0.1548 0.3433
14 Cu 0.2446 0.0845 0.1885
15 Cu 0.2476 0.5173 0.0377
16 Cu 0.2487 0.0169 0.0375
17 Cu 0.2542 0.9488 0.8868
18 Cu 0.2555 0.8802 0.7350
19 Cu 0.2591 0.4483 0.8875
20 Cu 0.2705 0.8051 0.5758
21 Cu 0.2716 0.3804 0.7361
22 Cu 0.3786 0.3276 0.3684
23 Cu 0.3966 0.8183 0.3831
24 Cu 0.3980 0.2621 0.2149
25 Cu 0.4013 0.7641 0.2210
26 Cu 0.4114 0.1948 0.0624
27 Cu 0.4118 0.6968 0.0653
28 Cu 0.4133 0.0619 0.7605
29 Cu 0.4193 0.1269 0.9108
30 Cu 0.4235 0.6281 0.9135
31 Cu 0.4303 0.5620 0.7642
32 Cu 0.5697 0.4380 0.2358
33 Cu 0.5765 0.3719 0.0865
34 Cu 0.5807 0.8731 0.0892
35 Cu 0.5867 0.9381 0.2395
36 Cu 0.5882 0.3032 0.9347
37 Cu 0.5886 0.8052 0.9376
38 Cu 0.5987 0.2359 0.7790
39 Cu 0.6020 0.7379 0.7851
40 Cu 0.6034 0.1817 0.6169
41 Cu 0.6214 0.6724 0.6316
42 Cu 0.7284 0.6196 0.2639
43 Cu 0.7295 0.1949 0.4242
44 Cu 0.7409 0.5517 0.1125
45 Cu 0.7445 0.1198 0.2650
46 Cu 0.7458 0.0512 0.1132
47 Cu 0.7513 0.9831 0.9625
48 Cu 0.7524 0.4827 0.9623
49 Cu 0.7554 0.9155 0.8115
50 Cu 0.7591 0.8452 0.6567
51 Cu 0.7650 0.4136 0.8116
52 Cu 0.7782 0.3504 0.6552
53 Cu 0.8931 0.2943 0.2904
54 Cu 0.9030 0.7942 0.2969
55 Cu 0.9049 0.2283 0.1383
56 Cu 0.9047 0.7307 0.1427
57 Cu 0.9057 0.0287 0.6849
58 Cu 0.9167 0.1609 0.9862
59 Cu 0.9182 0.0935 0.8353
60 Cu 0.9183 0.6627 0.9896
61 Cu 0.9272 0.5941 0.8386
62 Cu 0.9328 0.5277 0.6889
63 Te 0.1220 0.2584 0.5275
64 Te 0.4076 0.9959 0.5970
65 Te 0.4288 0.4963 0.5993
66 Te 0.5712 0.5037 0.4007
67 Te 0.5924 0.0041 0.4030
68 Te 0.8780 0.7416 0.4725

[19]
The following is a DFT calculation (PBE) of a relaxed structure of Li2Hf2AlTlPd2.

Output
The value obtained for the spin magnetization is 0.000 μB/f.u.

Cell: 4.5369 4.5369 6.4525 Å, 90.00 90.00 90.00°
Element x y z (fractional)
1 Li 0.0000 0.5000 0.2420
2 Li 0.5000 0.0000 0.7580
3 Hf 0.0000 0.0000 0.0000
4 Hf 0.5000 0.5000 0.5000
5 Al 0.5000 0.5000 0.0000
6 Tl 0.0000 0.0000 0.5000
7 Pd 0.0000 0.5000 0.7695
8 Pd 0.5000 0.0000 0.2305

We obtain E values of -5.587; -4.577; -4.266; -2.993; -2.598; -5.565; -8.446; -6.878; -3.336; -7.838; -6.152; -6.414; -3.824; -4.195; -4.775; -3.890; -6.064; -3.640; -5.502 eV per atom for the records listed above, in that order.
We obtain calculated volume values of 21.267; 25.785; 32.250; 16.987; 33.965; 21.941; 12.796; 21.699; 24.968; 23.996; 18.929; 24.786; 15.609; 26.091; 30.683; 15.883; 17.454; 13.725; 16.602 Å³/atom for the records listed above, in that order.